LiNp2MnO8 | PBE with a Hubbard U | relaxed

Properties
Its total magnetization is 0.5001 μB per atom. The calculation puts the final energy at -0.6383 Ry/atom. The symmetry is No. 65. As for the density of states at the Fermi level: 7.02 states/eV per cell.

a b c (Å): 4.7485 4.7484 6.9320
angles (deg): 90.01 90.01 88.75
Closest atoms and distances in Å follow each position.
Element x y z (fractional)
1 Np 0.5000 0.5000 0.2478  4 O 1.90-2.13
2 Np 0.5000 0.5000 0.7522  4 O 1.90-2.13
3 O 0.7870 0.2138 0.7463  1 Np 1.90
4 O 0.3108 0.3101 0.5000  1 Mn 2.11, 2 Np 2.17
5 O 0.6892 0.6899 0.5000  1 Mn 2.11, 2 Np 2.17
6 O 0.3158 0.3151 0.0000  2 Np 2.13, 1 Li 2.14
7 O 0.7871 0.2137 0.2536  1 Np 1.90
8 O 0.6842 0.6849 0.0000  2 Np 2.13, 1 Li 2.14
9 O 0.2130 0.7862 0.2537  1 Np 1.90
10 O 0.2129 0.7863 0.7464  1 Np 1.90
11 Li 0.0000 0.0000 0.0000  6 O 2.14-2.26
12 Mn 0.0000 0.0000 0.5000  6 O 2.11-2.22